1.
! PBE Be2Tl2PbO6, optimized geometry; values from VASP
! Raw formation energy (eV/f.u.): -13.87
! Total energy (eV/atom): -5.4100
&SYSTEM
  ibrav = 0, nat = 11, ntyp = 4
/
ATOMIC_SPECIES
Be 9.01 Be.upf
Tl 204.38 Tl.upf
Pb 207.20 Pb.upf
O 16.00 O.upf
CELL_PARAMETERS angstrom
5.296 0.000 0.000
-2.648 4.587 0.000
0.000 0.000 6.876
ATOMIC_POSITIONS crystal
Be 0.333 0.667 0.819
Be 0.667 0.333 0.181
Tl 0.333 0.667 0.344
Tl 0.667 0.333 0.656
Pb 0.000 0.000 0.000
O 0.302 0.360 0.809
O 0.058 0.698 0.809
O 0.640 0.942 0.809
O 0.698 0.640 0.191
O 0.942 0.302 0.191
O 0.360 0.058 0.191

2.
! PBE UBePbO6, optimized geometry; values from VASP
! Raw formation energy (eV/f.u.): -18.19
! Total energy (eV/atom): -7.4068
&SYSTEM
  ibrav = 0, nat = 9, ntyp = 4
/
ATOMIC_SPECIES
U 238.03 U.upf
Be 9.01 Be.upf
Pb 207.20 Pb.upf
O 16.00 O.upf
CELL_PARAMETERS angstrom
5.161 0.000 0.000
2.580 4.469 0.000
0.000 0.000 4.788
ATOMIC_POSITIONS crystal
U 0.667 0.667 0.500
Be 0.333 0.333 0.500
Pb 0.000 0.000 0.000
O 0.024 0.339 0.275
O 0.339 0.024 0.725
O 0.637 0.339 0.725
O 0.024 0.637 0.725
O 0.339 0.637 0.275
O 0.637 0.024 0.275